# Ag2HgRu PBE-GGA relaxed
data_Ag2HgRu
_space_group_name_H-M_alt 'P m m m'
_space_group_IT_number 47
_space_group_name_Hall '-P 2 2'
_cell_length_a 3.058
_cell_length_b 4.734
_cell_length_c 4.867
_cell_angle_alpha 90.00
_cell_angle_beta 90.00
_cell_angle_gamma 90.00
loop_
_atom_site_label
_atom_site_fract_x
_atom_site_fract_y
_atom_site_fract_z
_atom_site_occupancy
Ag1 0.000 0.000 0.000 1
Ag2 0.500 0.500 0.000 1
Hg1 0.000 0.500 0.500 1
Ru1 0.500 0.000 0.500 1
# - ΔE_f: 0.43 eV/atom
# - Uncorrected energy: -13.5 eV for the cell shown
# - Density: 12.20 g/cm³

# AgHgRu2 PBE-GGA relaxed
data_AgHgRu2
_space_group_name_H-M_alt 'I 4/m m m'
_space_group_IT_number 139
_space_group_name_Hall '-I 4 2'
_cell_length_a 3.957
_cell_length_b 3.957
_cell_length_c 8.621
_cell_angle_alpha 90.00
_cell_angle_beta 90.00
_cell_angle_gamma 90.00
loop_
_atom_site_label
_atom_site_fract_x
_atom_site_fract_y
_atom_site_fract_z
_atom_site_occupancy
Ag1 0.000 0.000 0.000 1
Hg1 0.000 0.000 0.500 1
Ru1 0.000 0.500 0.250 1
# - ΔE_f: 0.67 eV/atom
# - Uncorrected energy: -38.1 eV for the cell shown
# - Density: 12.56 g/cm³

# AgHgRu3 PBE-GGA relaxed
data_AgHgRu3
_space_group_name_H-M_alt 'P m -3 m'
_space_group_IT_number 221
_space_group_name_Hall '-P 4 2 3'
_cell_length_a 4.854
_cell_length_b 4.854
_cell_length_c 4.854
_cell_angle_alpha 90.00
_cell_angle_beta 90.00
_cell_angle_gamma 90.00
loop_
_atom_site_label
_atom_site_fract_x
_atom_site_fract_y
_atom_site_fract_z
_atom_site_occupancy
Ag1 0.000 0.000 0.000 1
Hg1 0.500 0.500 0.500 1
Ru1 0.000 0.000 0.500 1
# - ΔE_f: 2.17 eV/atom
# - Uncorrected energy: -20.1 eV for the cell shown
# - Density: 8.88 g/cm³
# - ΔE to the lowest computed polymorph: 0 meV per atom

# Ag2HgRu PBE-GGA relaxed
data_Ag2HgRu
_space_group_name_H-M_alt 'P 4/m m m'
_space_group_IT_number 123
_space_group_name_Hall '-P 4 2'
_cell_length_a 4.048
_cell_length_b 4.048
_cell_length_c 4.331
_cell_angle_alpha 90.00
_cell_angle_beta 90.00
_cell_angle_gamma 90.00
loop_
_atom_site_label
_atom_site_fract_x
_atom_site_fract_y
_atom_site_fract_z
_atom_site_occupancy
Ag1 0.000 0.500 0.000 1
Hg1 0.000 0.000 0.500 1
Ru1 0.500 0.500 0.500 1
# - ΔE_f: 0.44 eV/atom
# - Uncorrected energy: -13.5 eV for the cell shown
# - Density: 12.11 g/cm³

# AgHgRu2 PBE-GGA relaxed
data_AgHgRu2
_space_group_name_H-M_alt 'I -4 m 2'
_space_group_IT_number 119
_space_group_name_Hall 'I -4 -2'
_cell_length_a 4.083
_cell_length_b 4.083
_cell_length_c 7.844
_cell_angle_alpha 90.00
_cell_angle_beta 90.00
_cell_angle_gamma 90.00
loop_
_atom_site_label
_atom_site_fract_x
_atom_site_fract_y
_atom_site_fract_z
_atom_site_occupancy
Ag1 0.000 0.000 0.000 1
Hg1 0.000 0.500 0.750 1
Ru1 0.000 0.000 0.500 1
Ru2 0.000 0.500 0.250 1
# - ΔE_f: 0.61 eV/atom
# - Uncorrected energy: -38.5 eV for the cell shown
# - Density: 12.97 g/cm³

# Si2AgHgRu PBE-GGA relaxed
data_Si2AgHgRu
_space_group_name_H-M_alt 'P 4/m m m'
_space_group_IT_number 123
_space_group_name_Hall '-P 4 2'
_cell_length_a 4.864
_cell_length_b 4.864
_cell_length_c 5.190
_cell_angle_alpha 90.00
_cell_angle_beta 90.00
_cell_angle_gamma 90.00
loop_
_atom_site_label
_atom_site_fract_x
_atom_site_fract_y
_atom_site_fract_z
_atom_site_occupancy
Si1 0.000 0.500 0.000 1
Ag1 0.000 0.000 0.500 1
Hg1 0.500 0.500 0.000 1
Ru1 0.500 0.500 0.500 1
# - Uncorrected energy: -14.9 eV for the cell shown
# - Density: 6.30 g/cm³
# - ΔE_f (raw): 1.671 eV per atom

# Tb4Ag2HgRu PBE-GGA relaxed
data_Tb4Ag2HgRu
_space_group_name_H-M_alt 'R -3 m'
_space_group_IT_number 166
_space_group_name_Hall '-R 3 2"'
_cell_length_a 5.1280
_cell_length_b 5.1280
_cell_length_c 24.7799
_cell_angle_alpha 90.00
_cell_angle_beta 90.00
_cell_angle_gamma 120.00
loop_
_atom_site_label
_atom_site_fract_x
_atom_site_fract_y
_atom_site_fract_z
_atom_site_occupancy
Tb1 0.0000 0.0000 0.1160 1
Tb2 0.0000 0.0000 0.3683 1
Ag1 0.0000 0.0000 0.2447 1
Hg1 0.0000 0.0000 0.5000 1
Ru1 0.0000 0.0000 0.0000 1
# - ΔE_f: -0.39 eV/atom
# - Uncorrected energy: -110.8 eV for the cell shown
# - Density: 10.18 g/cm³

# AgHgRu2W PBE-GGA relaxed
data_AgHgRu2W
_space_group_name_H-M_alt 'P 4/m m m'
_space_group_IT_number 123
_space_group_name_Hall '-P 4 2'
_cell_length_a 4.872
_cell_length_b 4.872
_cell_length_c 4.763
_cell_angle_alpha 90.00
_cell_angle_beta 90.00
_cell_angle_gamma 90.00
loop_
_atom_site_label
_atom_site_fract_x
_atom_site_fract_y
_atom_site_fract_z
_atom_site_occupancy
Ag1 0.000 0.000 0.000 1
Hg1 0.000 0.000 0.500 1
Ru1 0.000 0.500 0.500 1
W1 0.500 0.500 0.000 1
# - ΔE_f: 2.67 eV/atom
# - Uncorrected energy: -21.3 eV for the cell shown
# - Density: 10.20 g/cm³